1.
## Y2W4C3S3 (PBE)

Data for crystalline Y2W4C3S3 at its relaxed geometry.

Calculated total energy (eV/atom): -9.187
Space-group type: C2/c, No. 15
Magnetic moment (μB/f.u.): 0.01

Unit cell a=5.706 b=5.706 c=13.236 alpha=90.69 beta=90.69 gamma=61.94
Positions (direct):
Y 0.011 0.843 0.623
Y 0.157 0.989 0.877
Y 0.843 0.011 0.123
Y 0.989 0.157 0.377
W 0.184 0.311 0.062
W 0.311 0.184 0.562
W 0.326 0.521 0.419
W 0.479 0.674 0.081
W 0.521 0.326 0.919
W 0.674 0.479 0.581
W 0.689 0.816 0.438
W 0.816 0.689 0.938
C 0.000 0.500 0.500
C 0.173 0.656 0.998
C 0.344 0.827 0.502
C 0.500 0.000 0.000
C 0.656 0.173 0.498
C 0.827 0.344 0.002
S 0.038 0.287 0.708
S 0.287 0.038 0.208
S 0.435 0.565 0.750
S 0.565 0.435 0.250
S 0.713 0.962 0.792
S 0.962 0.713 0.292


2.
## NaSmTh (PBE)

Data for crystalline NaSmTh at its relaxed geometry.

Calculated total energy (eV/atom): -3.383
Space-group type: F-43m, No. 216
Magnetic moment (μB/f.u.): 0.01

Unit cell a=5.283 b=5.283 c=5.283 alpha=60.00 beta=60.00 gamma=60.00
Positions (direct):
Na 0.000 0.000 0.000
Sm 0.250 0.250 0.250
Th 0.500 0.500 0.500